Entry 1:
Computed, not measured: a relaxed structure of Na2CeAgF6 at the GGA-PBE level of DFT.

It has space group P2_1/c (No. 14), with a = 6.091 Å, b = 6.018 Å, c = 11.134 Å, α = 90.00°, β = 122.68° and γ = 90.00°. Symmetry generates all atoms from Na at (0.207, 0.005, 0.208), Ce at (0.500, 0.000, 0.000), Ag at (0.000, 0.000, 0.500), F at (0.159, 0.175, 0.995), F at (0.169, 0.729, 0.339) and F at (0.494, 0.209, 0.827).

The value obtained for the uncorrected formation energy is -28.50 eV per formula unit.


Entry 2:
Computed, not measured: a relaxed structure of NaCeAg2F8 at the GGA-PBE level of DFT.

It has space group Pmmm (No. 47), with a = 4.103 Å, b = 5.658 Å, c = 7.750 Å, α = 90.00°, β = 90.00° and γ = 90.00°. Symmetry generates all atoms from Na at (0.000, 0.000, 0.000), Ce at (0.000, 0.000, 0.500), Ag at (0.500, 0.500, 0.229), F at (0.000, 0.236, 0.276), F at (0.500, 0.227, 0.500) and F at (0.500, 0.259, 0.000).

The value obtained for the uncorrected formation energy is -29.43 eV per formula unit.


Entry 3:
Computed, not measured: a relaxed structure of NaCeAg2F6 at the GGA-PBE level of DFT.

It has space group R3 (No. 146, hexagonal axes), with a = 6.1480 Å, b = 6.1480 Å, c = 15.5528 Å, α = 90.00°, β = 90.00° and γ = 120.00°. Symmetry generates all atoms from Na at (0.0000, 0.0000, 0.0000), Ce at (0.0000, 0.0000, 0.4992), Ag at (0.0000, 0.0000, 0.2342), Ag at (0.0000, 0.0000, 0.7262), F at (0.0075, 0.6220, 0.7579) and F at (0.0216, 0.3943, 0.2573).

The value obtained for the uncorrected formation energy is -25.09 eV per formula unit.


Entry 4:
Computed, not measured: a relaxed structure of Rb3CeAg2F9 at the GGA-PBE level of DFT.

It has space group P-3m1 (No. 164), with a = 6.4947 Å, b = 6.4947 Å, c = 8.4699 Å, α = 90.00°, β = 90.00° and γ = 120.00°. Symmetry generates all atoms from Rb at (0.0000, 0.0000, 0.0000), Rb at (0.3333, 0.6667, 0.7543), Ce at (0.0000, 0.0000, 0.5000), Ag at (0.3333, 0.6667, 0.1702), F at (0.0000, 0.5000, 0.0000) and F at (0.1551, 0.3102, 0.3427).

The value obtained for the uncorrected formation energy is -39.20 eV per formula unit.


Entry 5:
Computed, not measured: a relaxed structure of RbCeAg2F8 at the GGA-PBE level of DFT.

It has space group P-3m1 (No. 164), with a = 6.2830 Å, b = 6.2830 Å, c = 8.1916 Å, α = 90.00°, β = 90.00° and γ = 120.00°. Symmetry generates all atoms from Rb at (0.0000, 0.0000, 0.0000), Ce at (0.0000, 0.0000, 0.5000), Ag at (0.3333, 0.6667, 0.1861), F at (0.1530, 0.3059, 0.3289) and F at (0.3333, 0.6667, 0.9348).

The value obtained for the uncorrected formation energy is -28.26 eV per formula unit.


Entry 6:
Computed, not measured: a relaxed structure of SrCeAg2F8 at the GGA-PBE level of DFT.

It has space group Pmmm (No. 47), with a = 4.028 Å, b = 5.895 Å, c = 8.137 Å, α = 90.00°, β = 90.00° and γ = 90.00°. Symmetry generates all atoms from Sr at (0.000, 0.000, 0.000), Ce at (0.000, 0.000, 0.500), Ag at (0.500, 0.500, 0.234), F at (0.000, 0.225, 0.279), F at (0.500, 0.213, 0.500) and F at (0.500, 0.241, 0.000).

The value obtained for the uncorrected formation energy is -34.51 eV per formula unit.


Entry 7:
Computed, not measured: a relaxed structure of CeTlAgF6 at the GGA-PBE level of DFT.

It has space group P-31c (No. 163), with a = 6.3873 Å, b = 6.3873 Å, c = 10.8422 Å, α = 90.00°, β = 90.00° and γ = 120.00°. Symmetry generates all atoms from Ce at (0.3333, 0.6667, 0.2500), Tl at (0.0000, 0.0000, 0.0000), Ag at (0.3333, 0.6667, 0.7500) and F at (0.0379, 0.3855, 0.1413).

The value obtained for the uncorrected formation energy is -24.38 eV per formula unit.


Entry 8:
Computed, not measured: a relaxed structure of CeTlAg2F8 at the GGA-PBE level of DFT.

It has space group P-3m1 (No. 164), with a = 6.0023 Å, b = 6.0023 Å, c = 8.4134 Å, α = 90.00°, β = 90.00° and γ = 120.00°. Symmetry generates all atoms from Ce at (0.0000, 0.0000, 0.0000), Tl at (0.0000, 0.0000, 0.5000), Ag at (0.3333, 0.6667, 0.6703), F at (0.1590, 0.3181, 0.8326) and F at (0.3333, 0.6667, 0.4246).

The value obtained for the uncorrected formation energy is -26.04 eV per formula unit.


Entry 9:
Computed, not measured: a relaxed structure of CeTl2AgF6 at the GGA-PBE level of DFT.

It has space group Pmmn (No. 59, origin choice 2), with a = 6.749 Å, b = 9.375 Å, c = 6.755 Å, α = 90.00°, β = 90.00° and γ = 90.00°. Symmetry generates all atoms from Ce at (0.250, 0.250, 0.234), Tl at (0.250, 0.532, 0.699), Ag at (0.250, 0.750, 0.242), F at (0.009, 0.250, 0.005), F at (0.019, 0.750, 0.549) and F at (0.250, 0.012, 0.309).

The value obtained for the uncorrected formation energy is -24.62 eV per formula unit.


Entry 10:
Computed, not measured: a relaxed structure of CeTlAg2F6 at the GGA-PBE level of DFT.

It has space group P1 (No. 1), with a = 6.373 Å, b = 6.380 Å, c = 6.389 Å, α = 61.89°, β = 61.88° and γ = 61.88°. Symmetry generates all atoms from Ce at (0.000, 0.000, 0.000), Tl at (0.518, 0.518, 0.518), Ag at (0.296, 0.297, 0.297), Ag at (0.770, 0.770, 0.770), F at (0.079, 0.740, 0.372), F at (0.151, 0.617, 0.945), F at (0.373, 0.080, 0.740), F at (0.617, 0.945, 0.150), F at (0.741, 0.373, 0.079) and F at (0.944, 0.150, 0.618).

The value obtained for the uncorrected formation energy is -23.04 eV per formula unit.


Entry 11:
Computed, not measured: a relaxed structure of CeZnAgF6 at the GGA-PBE level of DFT.

It has space group P-31c (No. 163), with a = 5.9603 Å, b = 5.9603 Å, c = 9.5993 Å, α = 90.00°, β = 90.00° and γ = 120.00°. Symmetry generates all atoms from Ce at (0.3333, 0.6667, 0.2500), Zn at (0.3333, 0.6667, 0.7500), Ag at (0.0000, 0.0000, 0.0000) and F at (0.0293, 0.3786, 0.6356).

The value obtained for the uncorrected formation energy is -24.21 eV per formula unit.


Entry 12:
Computed, not measured: a relaxed structure of CeZnAg2F8 at the GGA-PBE level of DFT.

It has space group P-1 (No. 2), with a = 3.908 Å, b = 5.701 Å, c = 8.188 Å, α = 86.27°, β = 89.56° and γ = 87.87°. Symmetry generates all atoms from Ce at (0.000, 0.000, 0.000), Zn at (0.000, 0.000, 0.500), Ag at (0.492, 0.468, 0.281), F at (0.010, 0.131, 0.266), F at (0.010, 0.315, 0.832), F at (0.397, 0.780, 0.469) and F at (0.499, 0.206, 0.050).

The value obtained for the uncorrected formation energy is -29.11 eV per formula unit.


Among the records above, which one has the lowest uncorrected formation energy? Rb3CeAg2F9